Record 1
This record from the Alexandria database describes a geometry-optimized LaPSe2 structure. The functional is PBE.

## Properties
E_tot	-20.78	eV/f.u.
calculated density	5.36	Mg/m³

Unit cell a=4.1558 b=3.7853 c=6.7289 alpha=90.00 beta=106.46 gamma=90.00
Space group Pm (No. 6)
Inequivalent atoms, fractional coordinates:
La: 0.0000 0.0000 0.0000
P: 0.6561 0.5000 0.2400
Se: 0.3995 0.5000 0.7918
Se: 0.9324 0.0000 0.4475


Record 2
This record from the Alexandria database describes a geometry-optimized Li2TbSmSi2 structure. The functional is PBE.

## Properties
E_tot	-27.38	eV/f.u.
calculated density	5.14	Mg/m³

Unit cell a=4.4082 b=4.4082 c=7.2797 alpha=90.00 beta=90.00 gamma=120.00
Space group P-3m1 (No. 164)
Inequivalent atoms, fractional coordinates:
Li: 0.3333 0.6667 0.2345
Tb: 0.0000 0.0000 0.0000
Sm: 0.0000 0.0000 0.5000
Si: 0.3333 0.6667 0.7565


Record 3
This record from the Alexandria database describes a geometry-optimized K2ZnSi structure. The functional is PBE.

## Properties
E_tot	-7.71	eV/f.u.
calculated density	2.75	Mg/m³

Unit cell a=5.2759 b=5.2759 c=7.4536 alpha=90.00 beta=90.00 gamma=90.00
Space group I-4m2 (No. 119)
Inequivalent atoms, fractional coordinates:
K: 0.0000 0.0000 0.0000
K: 0.0000 0.5000 0.2500
Zn: 0.0000 0.0000 0.5000
Si: 0.0000 0.5000 0.7500


Record 4
This record from the Alexandria database describes a geometry-optimized Ag2Pb structure. The functional is PBE.

## Properties
E_tot	-8.90	eV/f.u.
calculated density	9.83	Mg/m³
energy of formation	0.509	eV/f.u.

Unit cell a=3.1932 b=4.7708 c=18.7498 alpha=90.00 beta=90.00 gamma=90.00
Space group Imma (No. 74)
Inequivalent atoms, fractional coordinates:
Ag: 0.0000 0.2500 0.0375
Ag: 0.0000 0.2500 0.1890
Pb: 0.0000 0.2500 0.6169


What is the E_tot in the fourth record? -8.90 eV/f.u.


The highest calculated density belongs to which entry? Ag2Pb